[1]
Below is a relaxed structure of TaCrI2, with properties calculated at the GGA-PBE level.

Values from the calculation:
Total magnetization   0.0000 μB per atom
Offset from the most stable computed form   0.000 eV per atom
Density of states at the Fermi level   17.053 states/eV per cell
Raw formation energy   1.11 eV per atom

Cell: 6.7518 6.7518 6.7518 Å, 90.00 90.00 90.00°
Last column: nearest neighbours and their distance in Å.
Space group Fm-3m (No. 225)
Asymmetric unit:
Ta  0.0000  0.0000  0.0000  8 I 2.92
Cr  0.0000  0.0000  0.5000  8 I 2.92
I  0.2500  0.2500  0.2500  4 Cr 2.92, 4 Ta 2.92


[2]
Below is a relaxed structure of TbEr2Ag3S6, with properties calculated at the GGA-PBE level.

Values from the calculation:
Total magnetization   0.0000 μB per atom
Density of states at the Fermi level   0.000 states/eV per cell
Raw formation energy   -1.31 eV per atom

Cell: 15.5031 4.0231 9.6115 Å, 90.00 106.68 90.00°
Last column: nearest neighbours and their distance in Å.
Space group C2/m (No. 12)
Asymmetric unit:
Tb  0.0000  0.0000  0.0000  6 S 2.77-2.79
Er  0.1660  0.5000  0.3352  6 S 2.68-2.78
Ag  0.0000  0.0000  0.5000  2 S 2.39
Ag  0.1754  0.5000  0.9364  2 S 2.50-2.53
S  0.0103  0.5000  0.8079  1 Ag 2.50, 1 Er 2.68, 2 Tb 2.77
S  0.1572  0.0000  0.5177  1 Ag 2.39
S  0.1840  0.0000  0.1462  3 Ag 2.53-2.82, 2 Er 2.78, 1 Tb 2.79